(w)
BiTe3O: optimized geometry, GGA-PBE.

Results
total magnetization = 0.00 μB per formula unit
V = 24.3 Å³/atom

Unit cell a=4.9497 b=4.9497 c=4.9497 alpha=90.00 beta=90.00 gamma=90.00
Space group Pm-3m (No. 221)
Asymmetric unit:
Bi: 0.0000 0.0000 0.0000 [1 per cell]
Te: 0.0000 0.5000 0.5000 [3 per cell]
O: 0.5000 0.5000 0.5000 [1 per cell]

=====

(x)
BiTe3O: optimized geometry, GGA-PBE.

Results
total magnetization = 0.00 μB per formula unit
V = 40.5 Å³/atom

Unit cell a=5.8703 b=5.8703 c=5.8703 alpha=90.00 beta=90.00 gamma=90.00
Space group Pm-3m (No. 221)
Asymmetric unit:
Bi: 0.0000 0.0000 0.0000 [1 per cell]
Te: 0.0000 0.0000 0.5000 [3 per cell]
O: 0.5000 0.5000 0.5000 [1 per cell]

=====

How far above the most stable structure does each one sit? In meV per atom: (w) 0; (x) 1141.

=====

(w)
Bi3TeO: optimized geometry, GGA-PBE.

Results
total magnetization = 0.00 μB per formula unit
V = 25.9 Å³/atom

Unit cell a=5.0615 b=5.0615 c=5.0615 alpha=90.00 beta=90.00 gamma=90.00
Space group Pm-3m (No. 221)
Asymmetric unit:
Bi: 0.0000 0.0000 0.5000 [3 per cell]
Te: 0.5000 0.5000 0.5000 [1 per cell]
O: 0.0000 0.0000 0.0000 [1 per cell]

=====

(x)
Bi3TeO: optimized geometry, GGA-PBE.

Results
total magnetization = 0.00 μB per formula unit
V = 39.9 Å³/atom

Unit cell a=5.8422 b=5.8422 c=5.8422 alpha=90.00 beta=90.00 gamma=90.00
Space group Pm-3m (No. 221)
Asymmetric unit:
Bi: 0.0000 0.0000 0.5000 [3 per cell]
Te: 0.0000 0.0000 0.0000 [1 per cell]
O: 0.5000 0.5000 0.5000 [1 per cell]

=====

How far above the most stable structure does each one sit? In meV per atom: (w) 0; (x) 1268.

=====

(w)
ThBiO: optimized geometry, GGA-PBE.

Results
total magnetization = 0.00 μB per formula unit
V = 24.2 Å³/atom

Unit cell a=3.9777 b=3.9777 c=5.3078 alpha=90.00 beta=90.00 gamma=120.00
Space group P-6m2 (No. 187)
Asymmetric unit:
Th: 0.0000 0.0000 0.0000 [1 per cell]
Bi: 0.6667 0.3333 0.5000 [1 per cell]
O: 0.3333 0.6667 0.0000 [1 per cell]

=====

(x)
ThBiO: optimized geometry, GGA-PBE.

Results
total magnetization = 0.00 μB per formula unit
V = 25.5 Å³/atom

Unit cell a=3.7392 b=3.7392 c=21.9163 alpha=90.00 beta=90.00 gamma=90.00
Space group I4/mmm (No. 139)
Asymmetric unit:
Th: 0.0000 0.0000 0.0703 [4 per cell]
Bi: 0.0000 0.0000 0.3229 [4 per cell]
O: 0.0000 0.5000 0.0000 [4 per cell]

=====

How far above the most stable structure does each one sit? In meV per atom: (w) 0; (x) 312.

=====

(w)
TiBi3O6: optimized geometry, GGA-PBE.

Results
total magnetization = 0.00 μB per formula unit
V = 14.6 Å³/atom

Unit cell a=5.5478 b=6.4761 c=9.7145 alpha=90.00 beta=123.25 gamma=90.00
Space group P2_1/c (No. 14)
Asymmetric unit:
Ti: 0.0000 0.0000 0.0000 [2 per cell]
Bi: 0.2920 0.0431 0.7718 [4 per cell]
Bi: 0.5000 0.0000 0.5000 [2 per cell]
O: 0.1025 0.0841 0.2252 [4 per cell]
O: 0.2673 0.7410 0.5962 [4 per cell]
O: 0.3401 0.1538 0.0238 [4 per cell]

=====

(x)
TiBi3O6: optimized geometry, GGA-PBE.

Results
total magnetization = 0.00 μB per formula unit
V = 16.1 Å³/atom

Unit cell a=8.9830 b=11.8423 c=6.0493 alpha=90.00 beta=90.00 gamma=90.00
Space group Cmc2_1 (No. 36)
Asymmetric unit:
Ti: 0.0000 0.1814 0.0000 [4 per cell]
Bi: 0.0000 0.4100 0.5426 [4 per cell]
Bi: 0.1895 0.1144 0.5424 [8 per cell]
O: 0.0000 0.0294 0.9376 [4 per cell]
O: 0.0000 0.2107 0.2957 [4 per cell]
O: 0.1585 0.4961 0.2876 [8 per cell]
O: 0.1689 0.2427 0.8701 [8 per cell]

=====

How far above the most stable structure does each one sit? In meV per atom: (w) 32; (x) 0.

=====

(w)
TiBi3O: optimized geometry, GGA-PBE.

Results
total magnetization = 0.00 μB per formula unit
V = 29.4 Å³/atom

Unit cell a=5.2801 b=5.2801 c=5.2801 alpha=90.00 beta=90.00 gamma=90.00
Space group Pm-3m (No. 221)
Asymmetric unit:
Ti: 0.0000 0.0000 0.0000 [1 per cell]
Bi: 0.0000 0.0000 0.5000 [3 per cell]
O: 0.5000 0.5000 0.5000 [1 per cell]

=====

(x)
TiBi3O: optimized geometry, GGA-PBE.

Results
total magnetization = 0.00 μB per formula unit
V = 23.3 Å³/atom

Unit cell a=4.8874 b=4.8874 c=4.8874 alpha=90.00 beta=90.00 gamma=90.00
Space group Pm-3m (No. 221)
Asymmetric unit:
Ti: 0.0000 0.0000 0.0000 [1 per cell]
Bi: 0.0000 0.5000 0.5000 [3 per cell]
O: 0.5000 0.5000 0.5000 [1 per cell]

=====

How far above the most stable structure does each one sit? In meV per atom: (w) 564; (x) 0.

=====

(w)
TlBi2O5: optimized geometry, GGA-PBE.

Results
total magnetization = 0.00 μB per formula unit
V = 18.2 Å³/atom

Unit cell a=4.3917 b=11.5133 c=11.5496 alpha=90.00 beta=90.00 gamma=90.00
Space group Cmcm (No. 63)
Asymmetric unit:
Tl: 0.0000 0.1816 0.2500 [4 per cell]
Bi: 0.0000 0.1405 0.5671 [8 per cell]
O: 0.0000 0.0502 0.1076 [8 per cell]
O: 0.0000 0.2380 0.7500 [4 per cell]
O: 0.0000 0.2997 0.0766 [8 per cell]

=====

(x)
TlBi2O5: optimized geometry, GGA-PBE.

Results
total magnetization = 0.00 μB per formula unit
V = 16.0 Å³/atom

Unit cell a=8.0917 b=3.7966 c=16.6480 alpha=90.00 beta=90.00 gamma=90.00
Space group Pnma (No. 62)
Asymmetric unit:
Tl: 0.1255 0.2500 0.0745 [4 per cell]
Bi: 0.1231 0.2500 0.7501 [4 per cell]
Bi: 0.1256 0.2500 0.4247 [4 per cell]
O: 0.0720 0.7500 0.8304 [4 per cell]
O: 0.1161 0.7500 0.4974 [4 per cell]
O: 0.1269 0.7500 0.3021 [4 per cell]
O: 0.1355 0.7500 0.0070 [4 per cell]
O: 0.1737 0.7500 0.6718 [4 per cell]

=====

How far above the most stable structure does each one sit? In meV per atom: (w) 0; (x) 9.

=====

(w)
TlBi3O: optimized geometry, GGA-PBE.

Results
total magnetization = 0.00 μB per formula unit
V = 39.4 Å³/atom

Unit cell a=5.8207 b=5.8207 c=5.8207 alpha=90.00 beta=90.00 gamma=90.00
Space group Pm-3m (No. 221)
Asymmetric unit:
Tl: 0.0000 0.0000 0.0000 [1 per cell]
Bi: 0.0000 0.0000 0.5000 [3 per cell]
O: 0.5000 0.5000 0.5000 [1 per cell]

=====

(x)
TlBi3O: optimized geometry, GGA-PBE.

Results
total magnetization = 0.00 μB per formula unit
V = 26.4 Å³/atom

Unit cell a=5.0928 b=5.0928 c=5.0928 alpha=90.00 beta=90.00 gamma=90.00
Space group Pm-3m (No. 221)
Asymmetric unit:
Tl: 0.0000 0.0000 0.0000 [1 per cell]
Bi: 0.0000 0.5000 0.5000 [3 per cell]
O: 0.5000 0.5000 0.5000 [1 per cell]

=====

How far above the most stable structure does each one sit? In meV per atom: (w) 1391; (x) 0.

=====

(w)
TlBi2O2: optimized geometry, GGA-PBE.

Results
total magnetization = 0.00 μB per formula unit
V = 24.2 Å³/atom

Unit cell a=8.0438 b=8.0438 c=3.7452 alpha=90.00 beta=90.00 gamma=90.00
Space group P4/mbm (No. 127)
Asymmetric unit:
Tl: 0.0000 0.0000 0.0000 [2 per cell]
Bi: 0.2064 0.2936 0.5000 [4 per cell]
O: 0.1866 0.6866 0.0000 [4 per cell]

=====

(x)
TlBi2O2: optimized geometry, GGA-PBE.

Results
total magnetization = 0.00 μB per formula unit
V = 25.8 Å³/atom

Unit cell a=4.8900 b=4.8900 c=10.7908 alpha=90.00 beta=90.00 gamma=90.00
Space group I4/mmm (No. 139)
Asymmetric unit:
Tl: 0.0000 0.0000 0.0000 [2 per cell]
Bi: 0.0000 0.5000 0.2500 [4 per cell]
O: 0.0000 0.0000 0.2608 [4 per cell]

=====

How far above the most stable structure does each one sit? In meV per atom: (w) 60; (x) 0.

=====

(w)
Tl2Bi2O7: optimized geometry, GGA-PBE.

Results
total magnetization = 0.31 μB per formula unit
V = 15.5 Å³/atom

Unit cell a=7.7448 b=7.9079 c=5.5680 alpha=90.00 beta=90.00 gamma=90.00
Space group Cmmm (No. 65)
Asymmetric unit:
Tl: 0.2307 0.0000 0.0000 [4 per cell]
Bi: 0.0000 0.2283 0.5000 [4 per cell]
O: 0.0000 0.0000 0.2629 [4 per cell]
O: 0.0000 0.5000 0.0000 [2 per cell]
O: 0.2500 0.2500 0.2637 [8 per cell]

=====

(x)
Tl2Bi2O7: optimized geometry, GGA-PBE.

Results
total magnetization = 0.00 μB per formula unit
V = 16.1 Å³/atom

Unit cell a=7.5949 b=8.2156 c=5.6800 alpha=90.00 beta=93.31 gamma=90.00
Space group Cm (No. 8)
Asymmetric unit:
Tl: 0.0000 0.2287 0.0000 [4 per cell]
Bi: 0.2584 0.5000 0.4336 [2 per cell]
Bi: 0.2591 0.0000 0.5224 [2 per cell]
O: 0.0346 0.0000 0.2846 [2 per cell]
O: 0.0569 0.0000 0.7819 [2 per cell]
O: 0.2454 0.3131 0.1558 [4 per cell]
O: 0.3514 0.2222 0.6581 [4 per cell]
O: 0.4566 0.0000 0.2703 [2 per cell]

=====

How far above the most stable structure does each one sit? In meV per atom: (w) 130; (x) 0.

=====

(w)
Tl3BiO6: optimized geometry, GGA-PBE.

Results
total magnetization = 0.00 μB per formula unit
V = 16.1 Å³/atom

Unit cell a=7.7920 b=11.3106 c=3.6557 alpha=90.00 beta=90.00 gamma=90.00
Space group Cmmm (No. 65)
Asymmetric unit:
Tl: 0.0000 0.0000 0.0000 [2 per cell]
Tl: 0.2500 0.2500 0.5000 [4 per cell]
Bi: 0.0000 0.5000 0.0000 [2 per cell]
O: 0.0000 0.3551 0.5000 [4 per cell]
O: 0.2127 0.1242 0.0000 [8 per cell]

=====

(x)
Tl3BiO6: optimized geometry, GGA-PBE.

Results
total magnetization = 0.00 μB per formula unit
V = 16.3 Å³/atom

Unit cell a=9.7414 b=9.7414 c=11.8661 alpha=90.00 beta=90.00 gamma=120.00
Space group R-3 (No. 148, hexagonal axes)
Asymmetric unit:
Tl: 0.0393 0.2660 0.2139 [18 per cell]
Bi: 0.0000 0.0000 0.0000 [3 per cell]
Bi: 0.0000 0.0000 0.5000 [3 per cell]
O: 0.0246 0.1886 0.8692 [18 per cell]
O: 0.0271 0.2211 0.4021 [18 per cell]

=====

How far above the most stable structure does each one sit? In meV per atom: (w) 58; (x) 0.